Compound: CdMo2HRh
Source: the Alexandria database
Functional: GGA-PBE
Structure: optimized geometry

## Properties
Crystal system   tetragonal
Raw total energy   -3.6878 eV/atom
V   118 Å³/f.u.

Unit cell a=4.953 b=4.953 c=4.827 alpha=90.00 beta=90.00 gamma=90.00
Space group P4/mmm (No. 123)
Inequivalent atoms, fractional coordinates:
Cd: 0.000 0.000 0.000
Mo: 0.000 0.500 0.000
H: 0.500 0.500 0.500
Rh: 0.000 0.000 0.500

=====

Compound: Os2RuPb
Source: the Alexandria database
Functional: GGA-PBE
Structure: optimized geometry

## Properties
ΔE_f   0.72 eV/atom
Crystal system   monoclinic
V   66 Å³/f.u.

Unit cell a=9.310 b=2.915 c=4.932 alpha=90.00 beta=99.33 gamma=90.00
Space group C2/m (No. 12)
Inequivalent atoms, fractional coordinates:
Os: 0.237 0.000 0.214
Ru: 0.000 0.500 0.000
Pb: 0.000 0.000 0.500

=====

Compound: HoTmMnZn
Source: the Alexandria database
Functional: GGA-PBE
Structure: optimized geometry

## Properties
ΔE_f   -0.06 eV/atom
Crystal system   cubic
V   86 Å³/f.u.

Unit cell a=7.012 b=7.012 c=7.012 alpha=90.00 beta=90.00 gamma=90.00
Space group F-43m (No. 216)
Inequivalent atoms, fractional coordinates:
Ho: 0.000 0.000 0.000
Tm: 0.000 0.000 0.500
Mn: 0.250 0.250 0.750
Zn: 0.250 0.250 0.250

=====

Compound: Tm2Ga3Cu4Pd
Source: the Alexandria database
Functional: GGA-PBE
Structure: optimized geometry

## Properties
ΔE_f   -0.41 eV/atom
Crystal system   tetragonal
V   169 Å³/f.u.

Unit cell a=3.913 b=3.913 c=11.044 alpha=90.00 beta=90.00 gamma=90.00
Space group P-4m2 (No. 115)
Inequivalent atoms, fractional coordinates:
Tm: 0.000 0.500 0.245
Ga: 0.000 0.000 0.000
Ga: 0.000 0.500 0.635
Cu: 0.000 0.000 0.500
Cu: 0.000 0.500 0.850
Cu: 0.500 0.500 0.500
Pd: 0.500 0.500 0.000

=====

Compound: LaCl
Source: the Alexandria database
Functional: GGA-PBE
Structure: optimized geometry

## Properties
Crystal system   tetragonal
V   64 Å³/f.u.
Formation energy without anion corrections   -1.448 eV/atom

Unit cell a=11.680 b=11.680 c=3.777 alpha=90.00 beta=90.00 gamma=90.00
Space group I4/m (No. 87)
Inequivalent atoms, fractional coordinates:
La: 0.125 0.323 0.000
Cl: 0.084 0.800 0.000

=====

Compound: PrGe2Pd5Au
Source: the Alexandria database
Functional: GGA-PBE
Structure: optimized geometry

## Properties
ΔE_f   -0.42 eV/atom
Crystal system   tetragonal
V   167 Å³/f.u.

Unit cell a=4.701 b=4.701 c=7.549 alpha=90.00 beta=90.00 gamma=90.00
Space group P4/mmm (No. 123)
Inequivalent atoms, fractional coordinates:
Pr: 0.000 0.000 0.000
Ge: 0.500 0.500 0.343
Pd: 0.000 0.500 0.249
Pd: 0.500 0.500 0.000
Au: 0.000 0.000 0.500

=====

Compound: Ho6Tm2Sc
Source: the Alexandria database
Functional: GGA-PBE
Structure: optimized geometry

## Properties
ΔE_f   0.10 eV/atom
Crystal system   monoclinic
Offset from the most stable computed form   71.1 meV per atom
V   271 Å³/f.u.

Unit cell a=15.772 b=11.397 c=6.052 alpha=90.00 beta=95.73 gamma=90.00
Space group C2/c (No. 15)
Inequivalent atoms, fractional coordinates:
Ho: 0.047 0.144 0.011
Ho: 0.114 0.362 0.325
Ho: 0.209 0.357 0.851
Tm: 0.169 0.098 0.575
Sc: 0.000 0.400 0.750

=====

Compound: GaHAu2S
Source: the Alexandria database
Functional: GGA-PBE
Structure: optimized geometry

## Properties
Crystal system   tetragonal
Raw total energy   -2.7332 eV/atom
V   131 Å³/f.u.

Unit cell a=4.629 b=4.629 c=6.121 alpha=90.00 beta=90.00 gamma=90.00
Space group P4/mmm (No. 123)
Inequivalent atoms, fractional coordinates:
Ga: 0.000 0.000 0.000
H: 0.500 0.500 0.000
Au: 0.000 0.500 0.500
S: 0.000 0.000 0.500

=====

| no. | Fermi-level density of states (states/eV per cell) |
| --- | --- |
| 1 | 11.33 |
| 2 | 9.30 |
| 3 | 19.32 |
| 4 | 6.01 |
| 5 | 13.06 |
| 6 | 3.01 |
| 7 | 52.24 |
| 8 | 1.23 |